# V4BC2, relaxed, DFT PBE-GGA
# Size of the total moment   0.000 μB per cell
# ΔE_f   0.171 eV/atom
# E   -0.634 Ry per atom
# Volume   11.314 Å³/atom
# Fermi-level density of states   11.39 states/eV/cell
data_V4BC2
_chemical_formula_sum 'V8 B2 C4'
_space_group_name_H-M_alt 'I 4/m m m'
_space_group_IT_number 139
_space_group_name_Hall '-I 4 2'
_cell_length_a 4.071
_cell_length_b 4.071
_cell_length_c 9.556
_cell_angle_alpha 90.00
_cell_angle_beta 90.00
_cell_angle_gamma 90.00
loop_
_atom_site_label
_atom_site_fract_x
_atom_site_fract_y
_atom_site_fract_z
_atom_site_occupancy
V1 0.000 0.000 0.232 1
V2 0.000 0.500 0.000 1
B1 0.000 0.000 0.000 1
C1 0.000 0.000 0.427 1